(1)
{"formula": "La2Sm12Tm5", "functional": "GGA-PBE", "state": "optimized geometry", "lattice_angstrom": [[10.597, -4.673, 0.000], [10.597, 4.673, 0.000], [-0.075, 0.000, 6.549]], "species": ["La", "La", "Sm", "Sm", "Sm", "Sm", "Sm", "Sm", "Sm", "Sm", "Sm", "Sm", "Sm", "Sm", "Tm", "Tm", "Tm", "Tm", "Tm"], "fractional_positions": [[0.200, 0.800, 0.000], [0.800, 0.200, 0.000], [0.050, 0.678, 0.598], [0.123, 0.464, 0.170], [0.138, 0.138, 0.918], [0.322, 0.950, 0.402], [0.440, 0.440, 0.345], [0.464, 0.123, 0.170], [0.536, 0.877, 0.830], [0.560, 0.560, 0.655], [0.678, 0.050, 0.598], [0.862, 0.862, 0.082], [0.877, 0.536, 0.830], [0.950, 0.322, 0.402], [0.000, 0.000, 0.500], [0.264, 0.264, 0.641], [0.404, 0.404, 0.853], [0.596, 0.596, 0.147], [0.736, 0.736, 0.359]], "m_tot_mub_per_fu": 0.0, "relative_energy_mev_per_atom": 7, "formation_enthalpy_0k_mev_per_atom": 143, "n_ef_per_ev_cell": 27.2, "rho_g_cm3": 7.49, "e_tot_ev_per_atom": -4.532}

=====

(2)
{"formula": "LaSm6Tm2", "functional": "GGA-PBE", "state": "optimized geometry", "lattice_angstrom": [[7.513, 0.000, 0.000], [-3.757, 6.507, 0.000], [0.000, 0.000, 6.129]], "species": ["La", "Sm", "Sm", "Sm", "Sm", "Sm", "Sm", "Tm", "Tm"], "fractional_positions": [[0.000, 0.000, 0.000], [0.187, 0.374, 0.291], [0.187, 0.813, 0.291], [0.374, 0.187, 0.709], [0.626, 0.813, 0.291], [0.813, 0.187, 0.709], [0.813, 0.626, 0.709], [0.333, 0.667, 0.781], [0.667, 0.333, 0.219]], "m_tot_mub_per_fu": 0.8, "relative_energy_mev_per_atom": 180, "formation_enthalpy_0k_mev_per_atom": 201, "n_ef_per_ev_cell": 14.6, "rho_g_cm3": 7.64, "e_tot_ev_per_atom": -4.487}

=====

(3)
{"formula": "La2Sm3Tm4", "functional": "GGA-PBE", "state": "optimized geometry", "lattice_angstrom": [[0.000, 6.235, 7.898], [3.082, 0.000, 7.898], [3.082, 6.235, 0.000]], "species": ["La", "La", "Sm", "Sm", "Sm", "Tm", "Tm", "Tm", "Tm"], "fractional_positions": [[0.115, 0.115, 0.885], [0.885, 0.885, 0.115], [0.000, 0.000, 0.500], [0.500, 0.500, 0.000], [0.500, 0.500, 0.500], [0.168, 0.454, 0.546], [0.454, 0.168, 0.832], [0.546, 0.832, 0.168], [0.832, 0.546, 0.454]], "m_tot_mub_per_fu": 0.0, "relative_energy_mev_per_atom": 157, "formation_enthalpy_0k_mev_per_atom": 187, "n_ef_per_ev_cell": 16.7, "rho_g_cm3": 7.68, "e_tot_ev_per_atom": -4.469}

=====

(4)
{"formula": "La2Sm2Tm5", "functional": "GGA-PBE", "state": "optimized geometry", "lattice_angstrom": [[10.785, -1.746, 0.000], [10.785, 1.746, 0.000], [-1.534, 0.000, 8.186]], "species": ["La", "La", "Sm", "Sm", "Tm", "Tm", "Tm", "Tm", "Tm"], "fractional_positions": [[0.183, 0.183, 0.142], [0.817, 0.817, 0.858], [0.455, 0.455, 0.644], [0.545, 0.545, 0.356], [0.000, 0.000, 0.000], [0.099, 0.099, 0.734], [0.309, 0.309, 0.470], [0.691, 0.691, 0.530], [0.901, 0.901, 0.266]], "m_tot_mub_per_fu": 0.0, "relative_energy_mev_per_atom": 18, "formation_enthalpy_0k_mev_per_atom": 221, "n_ef_per_ev_cell": 13.3, "rho_g_cm3": 7.67, "e_tot_ev_per_atom": -4.407}

=====

(5)
{"formula": "La2Sm6Tm5", "functional": "GGA-PBE", "state": "optimized geometry", "lattice_angstrom": [[11.807, 0.000, 0.000], [0.000, 20.341, 0.000], [0.000, 0.000, 3.631]], "species": ["La", "La", "La", "La", "Sm", "Sm", "Sm", "Sm", "Sm", "Sm", "Sm", "Sm", "Sm", "Sm", "Sm", "Sm", "Tm", "Tm", "Tm", "Tm", "Tm", "Tm", "Tm", "Tm", "Tm", "Tm"], "fractional_positions": [[0.165, 0.218, 0.000], [0.335, 0.718, 0.000], [0.665, 0.282, 0.000], [0.835, 0.782, 0.000], [0.059, 0.924, 0.000], [0.080, 0.636, 0.000], [0.178, 0.377, 0.500], [0.322, 0.877, 0.500], [0.420, 0.136, 0.000], [0.441, 0.424, 0.000], [0.559, 0.576, 0.000], [0.580, 0.864, 0.000], [0.678, 0.123, 0.500], [0.822, 0.623, 0.500], [0.920, 0.364, 0.000], [0.941, 0.076, 0.000], [0.000, 0.500, 0.500], [0.097, 0.780, 0.500], [0.200, 0.054, 0.500], [0.300, 0.554, 0.500], [0.403, 0.280, 0.500], [0.500, 0.000, 0.500], [0.597, 0.720, 0.500], [0.700, 0.446, 0.500], [0.800, 0.946, 0.500], [0.903, 0.220, 0.500]], "m_tot_mub_per_fu": 0.0, "formation_enthalpy_0k_mev_per_atom": 103, "n_ef_per_ev_cell": 32.5, "rho_g_cm3": 7.71, "e_tot_ev_per_atom": -4.553}

=====

(6)
{"formula": "LaSm4Tm4", "functional": "GGA-PBE", "state": "optimized geometry", "lattice_angstrom": [[-5.382, 5.382, 2.518], [5.382, -5.382, 2.518], [5.382, 5.382, -2.518]], "species": ["La", "Sm", "Sm", "Sm", "Sm", "Tm", "Tm", "Tm", "Tm"], "fractional_positions": [[0.000, 0.000, 0.000], [0.000, 0.332, 0.332], [0.000, 0.668, 0.668], [0.332, 0.000, 0.332], [0.668, 0.000, 0.668], [0.332, 0.332, 0.664], [0.332, 0.668, 0.000], [0.668, 0.332, 0.000], [0.668, 0.668, 0.336]], "m_tot_mub_per_fu": 0.0, "relative_energy_mev_per_atom": 11, "formation_enthalpy_0k_mev_per_atom": 26, "n_ef_per_ev_cell": 13.0, "rho_g_cm3": 8.06, "e_tot_ev_per_atom": -4.606}

=====

(7)
{"formula": "LaSm4Tm", "functional": "GGA-PBE", "state": "optimized geometry", "lattice_angstrom": [[12.001, 0.000, 0.000], [0.000, 3.633, 0.000], [-4.329, 0.000, 9.272]], "species": ["La", "La", "Sm", "Sm", "Sm", "Sm", "Sm", "Sm", "Sm", "Sm", "Tm", "Tm"], "fractional_positions": [[0.000, 0.000, 0.000], [0.500, 0.500, 0.000], [0.166, 0.500, 0.829], [0.167, 0.500, 0.338], [0.333, 0.000, 0.662], [0.334, 0.000, 0.171], [0.666, 0.000, 0.829], [0.667, 0.000, 0.338], [0.833, 0.500, 0.662], [0.834, 0.500, 0.171], [0.000, 0.000, 0.500], [0.500, 0.500, 0.500]], "m_tot_mub_per_fu": 0.0, "relative_energy_mev_per_atom": 0, "formation_enthalpy_0k_mev_per_atom": 21, "n_ef_per_ev_cell": 18.0, "rho_g_cm3": 7.47, "e_tot_ev_per_atom": -4.691}

=====

(8)
{"formula": "La3Sm2Tm4", "functional": "GGA-PBE", "state": "optimized geometry", "lattice_angstrom": [[8.214, -5.926, 0.000], [8.214, 5.926, 0.000], [-0.829, 0.000, 6.123]], "species": ["La", "La", "La", "La", "La", "La", "Sm", "Sm", "Sm", "Sm", "Tm", "Tm", "Tm", "Tm", "Tm", "Tm", "Tm", "Tm"], "fractional_positions": [[0.123, 0.877, 0.750], [0.198, 0.480, 0.906], [0.480, 0.198, 0.406], [0.520, 0.802, 0.594], [0.802, 0.520, 0.094], [0.877, 0.123, 0.250], [0.018, 0.752, 0.208], [0.248, 0.982, 0.292], [0.752, 0.018, 0.708], [0.982, 0.248, 0.792], [0.112, 0.347, 0.360], [0.327, 0.561, 0.459], [0.347, 0.112, 0.860], [0.439, 0.673, 0.041], [0.561, 0.327, 0.959], [0.653, 0.888, 0.140], [0.673, 0.439, 0.541], [0.888, 0.653, 0.640]], "m_tot_mub_per_fu": 0.0, "relative_energy_mev_per_atom": 34, "formation_enthalpy_0k_mev_per_atom": 102, "n_ef_per_ev_cell": 26.8, "rho_g_cm3": 7.76, "e_tot_ev_per_atom": -4.576}

=====

(9)
{"formula": "La5SmTm2", "functional": "GGA-PBE", "state": "optimized geometry", "lattice_angstrom": [[6.510, -8.158, 0.000], [6.510, 8.158, 0.000], [-2.851, 0.000, 5.395]], "species": ["La", "La", "La", "La", "La", "La", "La", "La", "La", "La", "Sm", "Sm", "Tm", "Tm", "Tm", "Tm"], "fractional_positions": [[0.044, 0.333, 0.938], [0.193, 0.807, 0.750], [0.285, 0.393, 0.588], [0.333, 0.044, 0.438], [0.393, 0.285, 0.088], [0.607, 0.715, 0.912], [0.667, 0.956, 0.562], [0.715, 0.607, 0.412], [0.807, 0.193, 0.250], [0.956, 0.667, 0.062], [0.338, 0.662, 0.250], [0.662, 0.338, 0.750], [0.000, 0.000, 0.000], [0.000, 0.000, 0.500], [0.000, 0.500, 0.500], [0.500, 0.000, 0.000]], "m_tot_mub_per_fu": 0.0, "relative_energy_mev_per_atom": 81, "formation_enthalpy_0k_mev_per_atom": 214, "n_ef_per_ev_cell": 24.7, "rho_g_cm3": 6.85, "e_tot_ev_per_atom": -4.573}

=====

(10)
{"formula": "La2Sm5Tm5", "functional": "GGA-PBE", "state": "optimized geometry", "lattice_angstrom": [[7.617, -2.532, 0.000], [7.617, 2.532, 0.000], [-5.107, 0.000, 10.186]], "species": ["La", "La", "Sm", "Sm", "Sm", "Sm", "Sm", "Tm", "Tm", "Tm", "Tm", "Tm"], "fractional_positions": [[0.164, 0.164, 0.499], [0.836, 0.836, 0.501], [0.000, 0.000, 0.000], [0.084, 0.084, 0.755], [0.249, 0.249, 0.245], [0.751, 0.751, 0.755], [0.916, 0.916, 0.245], [0.333, 0.333, 0.999], [0.419, 0.419, 0.754], [0.500, 0.500, 0.500], [0.581, 0.581, 0.246], [0.667, 0.667, 0.001]], "m_tot_mub_per_fu": 0.0, "formation_enthalpy_0k_mev_per_atom": 25, "n_ef_per_ev_cell": 17.8, "rho_g_cm3": 7.92, "e_tot_ev_per_atom": -4.626}

=====

(11)
{"formula": "La4Sm4Tm3", "functional": "GGA-PBE", "state": "optimized geometry", "lattice_angstrom": [[3.556, 0.000, 0.000], [0.000, 5.765, 0.000], [1.776, 2.870, 18.043]], "species": ["La", "La", "La", "La", "Sm", "Sm", "Sm", "Sm", "Tm", "Tm", "Tm"], "fractional_positions": [[0.092, 0.092, 0.315], [0.229, 0.729, 0.043], [0.771, 0.271, 0.957], [0.908, 0.908, 0.685], [0.044, 0.544, 0.411], [0.183, 0.182, 0.136], [0.817, 0.818, 0.864], [0.956, 0.456, 0.589], [0.364, 0.365, 0.771], [0.500, 0.000, 0.500], [0.636, 0.635, 0.229]], "m_tot_mub_per_fu": 0.0, "relative_energy_mev_per_atom": 0, "formation_enthalpy_0k_mev_per_atom": 60, "n_ef_per_ev_cell": 19.6, "rho_g_cm3": 7.47, "e_tot_ev_per_atom": -4.668}

=====

(12)
{"formula": "LaSm3Tm8", "functional": "GGA-PBE", "state": "optimized geometry", "lattice_angstrom": [[-3.168, 5.676, 5.685], [3.168, -5.676, 5.685], [3.168, 5.676, -5.685]], "species": ["La", "Sm", "Sm", "Sm", "Tm", "Tm", "Tm", "Tm", "Tm", "Tm", "Tm", "Tm"], "fractional_positions": [[0.000, 0.000, 0.000], [0.253, 0.500, 0.753], [0.500, 0.000, 0.500], [0.747, 0.500, 0.247], [0.077, 0.827, 0.251], [0.254, 0.005, 0.752], [0.254, 0.502, 0.248], [0.424, 0.173, 0.251], [0.576, 0.827, 0.749], [0.746, 0.498, 0.752], [0.746, 0.995, 0.248], [0.923, 0.173, 0.749]], "m_tot_mub_per_fu": 0.0, "formation_enthalpy_0k_mev_per_atom": 300, "n_ef_per_ev_cell": 17.6, "rho_g_cm3": 7.88, "e_tot_ev_per_atom": -4.271}

=====

(13)
{"formula": "La2SmTm3", "functional": "GGA-PBE", "state": "optimized geometry", "lattice_angstrom": [[4.740, -6.466, 0.000], [4.740, 6.466, 0.000], [0.000, 0.000, 6.566]], "species": ["La", "La", "La", "La", "Sm", "Sm", "Tm", "Tm", "Tm", "Tm", "Tm", "Tm"], "fractional_positions": [[0.088, 0.246, 0.000], [0.246, 0.088, 0.500], [0.754, 0.912, 0.000], [0.912, 0.754, 0.500], [0.400, 0.600, 0.245], [0.600, 0.400, 0.745], [0.005, 0.636, 0.011], [0.335, 0.665, 0.725], [0.364, 0.995, 0.011], [0.636, 0.005, 0.511], [0.665, 0.335, 0.225], [0.995, 0.364, 0.511]], "m_tot_mub_per_fu": 0.0, "relative_energy_mev_per_atom": 59, "formation_enthalpy_0k_mev_per_atom": 201, "n_ef_per_ev_cell": 19.9, "rho_g_cm3": 7.71, "e_tot_ev_per_atom": -4.464}

=====

(14)
{"formula": "La6Sm4Tm", "functional": "GGA-PBE", "state": "optimized geometry", "lattice_angstrom": [[3.000, -4.934, 0.000], [3.000, 4.934, 0.000], [0.000, 0.000, 26.247]], "species": ["La", "La", "La", "La", "La", "La", "La", "La", "La", "La", "La", "La", "Sm", "Sm", "Sm", "Sm", "Sm", "Sm", "Sm", "Sm", "Tm", "Tm"], "fractional_positions": [[0.000, 0.000, 0.000], [0.000, 0.000, 0.500], [0.060, 0.940, 0.750], [0.294, 0.706, 0.103], [0.294, 0.706, 0.397], [0.384, 0.616, 0.684], [0.384, 0.616, 0.816], [0.616, 0.384, 0.184], [0.616, 0.384, 0.316], [0.706, 0.294, 0.603], [0.706, 0.294, 0.897], [0.940, 0.060, 0.250], [0.052, 0.948, 0.625], [0.052, 0.948, 0.875], [0.352, 0.648, 0.545], [0.352, 0.648, 0.955], [0.648, 0.352, 0.045], [0.648, 0.352, 0.455], [0.948, 0.052, 0.125], [0.948, 0.052, 0.375], [0.281, 0.719, 0.250], [0.719, 0.281, 0.750]], "m_tot_mub_per_fu": 0.0, "relative_energy_mev_per_atom": 0, "formation_enthalpy_0k_mev_per_atom": 102, "n_ef_per_ev_cell": 35.0, "rho_g_cm3": 6.85, "e_tot_ev_per_atom": -4.708}

=====

(15)
{"formula": "La12SmTm6", "functional": "GGA-PBE", "state": "optimized geometry", "lattice_angstrom": [[7.475, 4.315, 3.499], [-7.475, 4.315, 3.499], [0.000, -8.631, 3.499]], "species": ["La", "La", "La", "La", "La", "La", "La", "La", "La", "La", "La", "La", "Sm", "Tm", "Tm", "Tm", "Tm", "Tm", "Tm"], "fractional_positions": [[0.128, 0.288, 0.824], [0.176, 0.872, 0.712], [0.197, 0.484, 0.579], [0.288, 0.824, 0.128], [0.421, 0.803, 0.516], [0.484, 0.579, 0.197], [0.516, 0.421, 0.803], [0.579, 0.197, 0.484], [0.712, 0.176, 0.872], [0.803, 0.516, 0.421], [0.824, 0.128, 0.288], [0.872, 0.712, 0.176], [0.000, 0.000, 0.000], [0.080, 0.450, 0.189], [0.189, 0.080, 0.450], [0.450, 0.189, 0.080], [0.550, 0.811, 0.920], [0.811, 0.920, 0.550], [0.920, 0.550, 0.811]], "m_tot_mub_per_fu": 0.0, "formation_enthalpy_0k_mev_per_atom": 228, "n_ef_per_ev_cell": 32.4, "rho_g_cm3": 6.94, "e_tot_ev_per_atom": -4.544}

=====

(16)
{"formula": "La3SmTm", "functional": "GGA-PBE", "state": "optimized geometry", "lattice_angstrom": [[3.950, -6.852, 0.000], [3.950, 6.852, 0.000], [0.000, 0.000, 6.658]], "species": ["La", "La", "La", "La", "La", "La", "Sm", "Sm", "Tm", "Tm"], "fractional_positions": [[0.199, 0.399, 0.750], [0.199, 0.801, 0.750], [0.399, 0.199, 0.250], [0.601, 0.801, 0.750], [0.801, 0.199, 0.250], [0.801, 0.601, 0.250], [0.000, 0.000, 0.000], [0.000, 0.000, 0.500], [0.334, 0.666, 0.250], [0.666, 0.334, 0.750]], "m_tot_mub_per_fu": 0.0, "relative_energy_mev_per_atom": 233, "formation_enthalpy_0k_mev_per_atom": 289, "n_ef_per_ev_cell": 9.7, "rho_g_cm3": 6.78, "e_tot_ev_per_atom": -4.506}

=====

(17)
{"formula": "LaSm8Tm5", "functional": "GGA-PBE", "state": "optimized geometry", "lattice_angstrom": [[-4.763, 4.763, 5.197], [4.763, -4.763, 5.197], [4.763, 4.763, -5.197]], "species": ["La", "Sm", "Sm", "Sm", "Sm", "Sm", "Sm", "Sm", "Sm", "Tm", "Tm", "Tm", "Tm", "Tm"], "fractional_positions": [[0.000, 0.000, 0.000], [0.089, 0.326, 0.413], [0.284, 0.179, 0.753], [0.323, 0.911, 0.236], [0.426, 0.531, 0.247], [0.469, 0.716, 0.895], [0.674, 0.087, 0.764], [0.821, 0.574, 0.105], [0.913, 0.677, 0.587], [0.027, 0.434, 0.818], [0.250, 0.750, 0.500], [0.566, 0.384, 0.592], [0.616, 0.209, 0.182], [0.791, 0.973, 0.408]], "m_tot_mub_per_fu": 0.0, "formation_enthalpy_0k_mev_per_atom": 236, "n_ef_per_ev_cell": 21.1, "rho_g_cm3": 7.70, "e_tot_ev_per_atom": -4.410}

=====

(18)
{"formula": "La3SmTm7", "functional": "GGA-PBE", "state": "optimized geometry", "lattice_angstrom": [[7.040, 0.000, 0.000], [-3.520, 6.097, 0.000], [0.000, 0.000, 8.740]], "species": ["La", "La", "La", "Sm", "Tm", "Tm", "Tm", "Tm", "Tm", "Tm", "Tm"], "fractional_positions": [[0.167, 0.334, 0.000], [0.167, 0.833, 0.000], [0.666, 0.833, 0.000], [0.000, 0.000, 0.659], [0.001, 0.501, 0.657], [0.333, 0.166, 0.339], [0.333, 0.667, 0.340], [0.499, 0.501, 0.657], [0.499, 0.999, 0.657], [0.834, 0.166, 0.339], [0.834, 0.667, 0.339]], "m_tot_mub_per_fu": 0.0, "relative_energy_mev_per_atom": 0, "formation_enthalpy_0k_mev_per_atom": 177, "n_ef_per_ev_cell": 17.2, "rho_g_cm3": 7.74, "e_tot_ev_per_atom": -4.441}

=====

(19)
{"formula": "La3Sm6Tm2", "functional": "GGA-PBE", "state": "optimized geometry", "lattice_angstrom": [[1.815, 1.048, 32.648], [-1.815, 1.048, 32.648], [0.000, -2.096, 32.648]], "species": ["La", "La", "La", "Sm", "Sm", "Sm", "Sm", "Sm", "Sm", "Tm", "Tm"], "fractional_positions": [[0.000, 0.000, 0.000], [0.271, 0.271, 0.271], [0.729, 0.729, 0.729], [0.093, 0.093, 0.093], [0.182, 0.182, 0.182], [0.364, 0.364, 0.364], [0.636, 0.636, 0.636], [0.818, 0.818, 0.818], [0.907, 0.907, 0.907], [0.456, 0.456, 0.456], [0.544, 0.544, 0.544]], "m_tot_mub_per_fu": 0.0, "formation_enthalpy_0k_mev_per_atom": 20, "n_ef_per_ev_cell": 15.3, "rho_g_cm3": 7.38, "e_tot_ev_per_atom": -4.711}